Record 1
This record from Alexandria describes a PBEsol-optimized structure of HfCuTc2. The functional is meta-GGA SCAN.

a = 6.182 Å, b = 6.182 Å, c = 6.182 Å
α = 90.00°, β = 90.00°, γ = 90.00°
Space group Fm-3m (No. 225)
Symmetry-distinct sites (fractional):
Hf 0.000 0.000 0.000 (multiplicity 4)
Cu 0.000 0.000 0.500 (multiplicity 4)
Tc 0.250 0.250 0.250 (multiplicity 8)

formation energy from the elements: 161 meV per atom
DOS(E_F): 1.574 states/eV/atom
volume: 14.763 Å³ per atom

Record 2
This record from Alexandria describes a PBEsol-optimized structure of CdAgHg2. The functional is meta-GGA SCAN.

a = 3.1615 Å, b = 3.1615 Å, c = 28.1588 Å
α = 90.00°, β = 90.00°, γ = 120.00°
Space group R-3m (No. 166, hexagonal axes)
Symmetry-distinct sites (fractional):
Cd 0.0000 0.0000 0.0000 (multiplicity 3)
Ag 0.0000 0.0000 0.5000 (multiplicity 3)
Hg 0.0000 0.0000 0.2466 (multiplicity 6)

formation energy from the elements: 58 meV per atom
DOS(E_F): 0.347 states/eV/atom
volume: 20.312 Å³ per atom

Record 3
This record from Alexandria describes a PBEsol-optimized structure of AlCo3Re. The functional is meta-GGA SCAN.

a = 4.353 Å, b = 4.353 Å, c = 4.353 Å
α = 90.00°, β = 90.00°, γ = 90.00°
Space group Pm-3m (No. 221)
Symmetry-distinct sites (fractional):
Al 0.000 0.000 0.000 (multiplicity 1)
Co 0.000 0.500 0.500 (multiplicity 3)
Re 0.500 0.500 0.500 (multiplicity 1)

formation energy from the elements: 1607 meV per atom
DOS(E_F): 1.364 states/eV/atom
volume: 16.499 Å³ per atom

Record 4
This record from Alexandria describes a PBEsol-optimized structure of ZrCd2Si. The functional is meta-GGA SCAN.

a = 5.532 Å, b = 9.435 Å, c = 2.992 Å
α = 90.00°, β = 90.00°, γ = 90.00°
Space group Cmmm (No. 65)
Symmetry-distinct sites (fractional):
Zr 0.000 0.000 0.000 (multiplicity 2)
Cd 0.250 0.250 0.500 (multiplicity 4)
Si 0.000 0.500 0.000 (multiplicity 2)

DOS(E_F): 0.471 states/eV/atom
energy: -25.382 eV per atom
volume: 19.524 Å³ per atom

Record 5
This record from Alexandria describes a PBEsol-optimized structure of CdMoF3. The functional is meta-GGA SCAN.

a = 4.354 Å, b = 4.354 Å, c = 4.354 Å
α = 90.00°, β = 90.00°, γ = 90.00°
Space group Pm-3m (No. 221)
Symmetry-distinct sites (fractional):
Cd 0.000 0.000 0.000 (multiplicity 1)
Mo 0.500 0.500 0.500 (multiplicity 1)
F 0.000 0.000 0.500 (multiplicity 3)

DOS(E_F): 0.790 states/eV/atom
energy: -16.313 eV per atom
volume: 16.504 Å³ per atom

Record 6
This record from Alexandria describes a PBEsol-optimized structure of Sr2CoBr. The functional is meta-GGA SCAN.

a = 4.286 Å, b = 4.286 Å, c = 12.370 Å
α = 90.00°, β = 90.00°, γ = 90.00°
Space group I-4m2 (No. 119)
Symmetry-distinct sites (fractional):
Sr 0.000 0.000 0.000 (multiplicity 2)
Sr 0.000 0.500 0.250 (multiplicity 2)
Co 0.000 0.500 0.750 (multiplicity 2)
Br 0.000 0.000 0.500 (multiplicity 2)

DOS(E_F): 0.565 states/eV/atom
relative energy among the computed polymorphs: 150.4 meV per atom
volume: 28.406 Å³ per atom